First-principles (PBE) data for a geometry-optimized AcMg11Pd structure, as listed in Alexandria.

a = 7.858 Å, b = 7.858 Å, c = 7.787 Å
α = 97.04°, β = 97.04°, γ = 137.66°
Fractional coordinates of all 13 atoms:
1 Ac 0.000 0.000 0.000
2 Mg 0.000 0.000 0.500
3 Mg 0.000 0.500 0.000
4 Mg 0.016 0.359 0.363
5 Mg 0.297 0.506 0.774
6 Mg 0.359 0.016 0.363
7 Mg 0.494 0.703 0.226
8 Mg 0.500 0.000 0.000
9 Mg 0.506 0.297 0.774
10 Mg 0.641 0.984 0.637
11 Mg 0.703 0.494 0.226
12 Mg 0.984 0.641 0.637
13 Pd 0.500 0.500 0.500

---

First-principles (PBE) data for a geometry-optimized AcMg12Pd6 structure, as listed in Alexandria.

a = 7.642 Å, b = 7.642 Å, c = 7.642 Å
α = 103.91°, β = 103.91°, γ = 103.91°
Fractional coordinates of all 19 atoms:
1 Ac 0.000 0.000 0.000
2 Mg 0.121 0.500 0.879
3 Mg 0.121 0.879 0.500
4 Mg 0.170 0.436 0.436
5 Mg 0.436 0.170 0.436
6 Mg 0.436 0.436 0.170
7 Mg 0.500 0.121 0.879
8 Mg 0.500 0.879 0.121
9 Mg 0.564 0.564 0.830
10 Mg 0.564 0.830 0.564
11 Mg 0.830 0.564 0.564
12 Mg 0.879 0.121 0.500
13 Mg 0.879 0.500 0.121
14 Pd 0.251 0.251 0.697
15 Pd 0.251 0.697 0.251
16 Pd 0.303 0.749 0.749
17 Pd 0.697 0.251 0.251
18 Pd 0.749 0.303 0.749
19 Pd 0.749 0.749 0.303

---

First-principles (PBE) data for a geometry-optimized Ac2MgPd6 structure, as listed in Alexandria.

a = 5.969 Å, b = 5.969 Å, c = 6.042 Å
α = 90.00°, β = 90.00°, γ = 120.00°
Fractional coordinates of all 9 atoms:
1 Ac 0.333 0.667 0.196
2 Ac 0.667 0.333 0.804
3 Mg 0.000 0.000 0.000
4 Pd 0.174 0.347 0.684
5 Pd 0.174 0.826 0.684
6 Pd 0.347 0.174 0.316
7 Pd 0.653 0.826 0.684
8 Pd 0.826 0.174 0.316
9 Pd 0.826 0.653 0.316

---

First-principles (PBE) data for a geometry-optimized Ac2MgPd structure, as listed in Alexandria.

Energy relative to the lowest polymorph listed for this composition   0 meV per atom

a = 3.906 Å, b = 3.906 Å, c = 8.192 Å
α = 90.00°, β = 90.00°, γ = 90.00°
Fractional coordinates of all 4 atoms:
1 Ac 0.000 0.000 0.221
2 Ac 0.000 0.000 0.779
3 Mg 0.500 0.500 0.500
4 Pd 0.500 0.500 0.000

---

First-principles (PBE) data for a geometry-optimized Ac2MgPd structure, as listed in Alexandria.

Energy relative to the lowest polymorph listed for this composition   50 meV per atom

a = 6.720 Å, b = 6.720 Å, c = 5.310 Å
α = 113.21°, β = 113.21°, γ = 39.07°
Fractional coordinates of all 4 atoms:
1 Ac 0.170 0.170 0.170
2 Ac 0.830 0.830 0.830
3 Mg 0.500 0.500 0.500
4 Pd 0.500 0.500 0.000

---

First-principles (PBE) data for a geometry-optimized AcMgPd structure, as listed in Alexandria.

Energy relative to the lowest polymorph listed for this composition   129 meV per atom

a = 4.673 Å, b = 4.673 Å, c = 4.307 Å
α = 90.00°, β = 90.00°, γ = 120.00°
Fractional coordinates of all 3 atoms:
1 Ac 0.000 0.000 0.000
2 Mg 0.667 0.333 0.500
3 Pd 0.333 0.667 0.500

---

First-principles (PBE) data for a geometry-optimized Ac2Mg5Pd4 structure, as listed in Alexandria.

a = 9.499 Å, b = 8.201 Å, c = 6.373 Å
α = 80.28°, β = 58.32°, γ = 41.40°
Fractional coordinates of all 11 atoms:
1 Ac 0.151 0.151 0.849
2 Ac 0.849 0.849 0.151
3 Mg 0.000 0.000 0.500
4 Mg 0.250 0.250 0.250
5 Mg 0.500 0.500 0.000
6 Mg 0.500 0.500 0.500
7 Mg 0.750 0.750 0.750
8 Pd 0.231 0.495 0.505
9 Pd 0.495 0.231 0.769
10 Pd 0.505 0.769 0.231
11 Pd 0.769 0.505 0.495

---

First-principles (PBE) data for a geometry-optimized Ac2Mg12Pd7 structure, as listed in Alexandria.

a = 11.153 Å, b = 11.153 Å, c = 4.089 Å
α = 90.00°, β = 90.00°, γ = 120.00°
Fractional coordinates of all 21 atoms:
1 Ac 0.000 0.000 0.000
2 Ac 0.333 0.667 0.500
3 Mg 0.046 0.285 0.500
4 Mg 0.095 0.721 0.000
5 Mg 0.239 0.954 0.500
6 Mg 0.279 0.374 0.000
7 Mg 0.449 0.206 0.000
8 Mg 0.508 0.447 0.500
9 Mg 0.553 0.060 0.500
10 Mg 0.626 0.905 0.000
11 Mg 0.715 0.761 0.500
12 Mg 0.757 0.551 0.000
13 Mg 0.794 0.243 0.000
14 Mg 0.940 0.492 0.500
15 Pd 0.086 0.464 0.000
16 Pd 0.256 0.205 0.500
17 Pd 0.379 0.914 0.000
18 Pd 0.536 0.621 0.000
19 Pd 0.667 0.333 0.500
20 Pd 0.795 0.051 0.500
21 Pd 0.949 0.744 0.500

---

First-principles (PBE) data for a geometry-optimized Ac6Mg23Pd structure, as listed in Alexandria.

a = 10.544 Å, b = 10.544 Å, c = 10.544 Å
α = 60.00°, β = 60.00°, γ = 60.00°
Fractional coordinates of all 30 atoms:
1 Ac 0.207 0.207 0.793
2 Ac 0.207 0.793 0.207
3 Ac 0.207 0.793 0.793
4 Ac 0.793 0.207 0.207
5 Ac 0.793 0.207 0.793
6 Ac 0.793 0.793 0.207
7 Mg 0.000 0.000 0.500
8 Mg 0.000 0.500 0.000
9 Mg 0.000 0.500 0.500
10 Mg 0.133 0.622 0.622
11 Mg 0.175 0.175 0.175
12 Mg 0.175 0.175 0.476
13 Mg 0.175 0.476 0.175
14 Mg 0.378 0.378 0.378
15 Mg 0.378 0.378 0.867
16 Mg 0.378 0.867 0.378
17 Mg 0.476 0.175 0.175
18 Mg 0.500 0.000 0.000
19 Mg 0.500 0.000 0.500
20 Mg 0.500 0.500 0.000
21 Mg 0.500 0.500 0.500
22 Mg 0.524 0.825 0.825
23 Mg 0.622 0.133 0.622
24 Mg 0.622 0.622 0.133
25 Mg 0.622 0.622 0.622
26 Mg 0.825 0.524 0.825
27 Mg 0.825 0.825 0.524
28 Mg 0.825 0.825 0.825
29 Mg 0.867 0.378 0.378
30 Pd 0.000 0.000 0.000

---

First-principles (PBE) data for a geometry-optimized Ac2Mg3Pd2 structure, as listed in Alexandria.

a = 5.978 Å, b = 5.978 Å, c = 8.117 Å
α = 113.18°, β = 113.18°, γ = 43.05°
Fractional coordinates of all 7 atoms:
1 Ac 0.141 0.141 0.277
2 Ac 0.859 0.859 0.723
3 Mg 0.359 0.359 0.066
4 Mg 0.500 0.500 0.500
5 Mg 0.641 0.641 0.934
6 Pd 0.141 0.141 0.711
7 Pd 0.859 0.859 0.289

---

First-principles (PBE) data for a geometry-optimized AcMg2Pd structure, as listed in Alexandria.

Energy relative to the lowest polymorph listed for this composition   0 meV per atom

a = 5.923 Å, b = 5.923 Å, c = 8.463 Å
α = 90.00°, β = 90.00°, γ = 136.82°
Fractional coordinates of all 8 atoms:
1 Ac 0.058 0.942 0.750
2 Ac 0.942 0.058 0.250
3 Mg 0.342 0.658 0.556
4 Mg 0.342 0.658 0.944
5 Mg 0.658 0.342 0.056
6 Mg 0.658 0.342 0.444
7 Pd 0.225 0.775 0.250
8 Pd 0.775 0.225 0.750

---

no.,total energy (eV/atom),DOS at the Fermi energy (states/eV/f.u.)
1,-2.2429,4.92
2,-3.3187,9.52
3,-5.2858,3.14
4,-4.1392,2.92
5,-4.0893,4.01
6,-4.1367,2.67
7,-3.9174,4.78
8,-3.5999,7.20
9,-2.3656,23.30
10,-3.8891,4.20
11,-3.6470,1.64